First-principles (PBE-GGA) data for a geometry-optimized Ce8C4NF3 structure, as listed in the Alexandria database.

The value obtained for the formation energy from raw total energies is -1319 meV per atom. The total energy comes out at -0.5485 Ry/atom. As for the theoretical density: 7.57 g cm⁻³. The volume comes out at 271.96 Å³ per cell. As for the space-group type: R-3m (166).

Geometry as POSCAR:
```
Ce8C4NF3
1.0
-2.094 -1.508 -6.827
-1.861 -6.697 2.050
-2.755 5.802 3.464
Ce F C N
8 3 4 1
Direct
0.752 0.243 0.504
0.244 0.232 0.488
0.248 0.757 0.009
0.756 0.768 0.512
0.761 0.757 0.009
0.752 0.243 0.991
0.248 0.757 0.496
0.239 0.243 0.991
0.500 0.500 0.500
0.000 0.500 0.500
0.500 0.500 0.000
0.000 0.000 0.500
0.500 0.000 0.000
0.000 0.000 0.000
0.500 0.000 0.500
0.000 0.500 0.000
```